The following is a DFT calculation (GGA-PBE) of a relaxed BeAgW crystal.

```
data_BeAgW
_chemical_formula_sum 'Be4 Ag4 W4'
_symmetry_space_group_name_H-M 'F -4 3 m'
_symmetry_Int_Tables_number 216
_symmetry_space_group_name_Hall 'F -4 2 3'
_cell_length_a 5.930
_cell_length_b 5.930
_cell_length_c 5.930
_cell_angle_alpha 90.00
_cell_angle_beta 90.00
_cell_angle_gamma 90.00
loop_
_atom_site_label
_atom_site_type_symbol
_atom_site_fract_x
_atom_site_fract_y
_atom_site_fract_z
_atom_site_occupancy
Be1 Be 0.000 0.000 0.000 1
Ag1 Ag 0.000 0.000 0.500 1
W1 W 0.250 0.250 0.750 1
```

The value obtained for the total magnetization is 0.00 μB per cell. The total energy is -4.96 eV/atom. As for the energy above the lowest structure with this stoichiometry: 1.608 eV/f.u.

---

The following is a DFT calculation (GGA-PBE) of a relaxed Y2BeAg crystal.

```
data_Y2BeAg
_chemical_formula_sum 'Y8 Be4 Ag4'
_symmetry_space_group_name_H-M 'F -4 3 m'
_symmetry_Int_Tables_number 216
_symmetry_space_group_name_Hall 'F -4 2 3'
_cell_length_a 6.943
_cell_length_b 6.943
_cell_length_c 6.943
_cell_angle_alpha 90.00
_cell_angle_beta 90.00
_cell_angle_gamma 90.00
loop_
_atom_site_label
_atom_site_type_symbol
_atom_site_fract_x
_atom_site_fract_y
_atom_site_fract_z
_atom_site_occupancy
Y1 Y 0.000 0.000 0.000 1
Y2 Y 0.250 0.250 0.250 1
Be1 Be 0.000 0.000 0.500 1
Ag1 Ag 0.250 0.250 0.750 1
```

The value obtained for the total magnetization is 3.45 μB per cell. The total energy is -4.57 eV/atom.

---

The following is a DFT calculation (GGA-PBE) of a relaxed Be2ZnAg crystal.

```
data_Be2ZnAg
_chemical_formula_sum 'Be8 Zn4 Ag4'
_symmetry_space_group_name_H-M 'F -4 3 m'
_symmetry_Int_Tables_number 216
_symmetry_space_group_name_Hall 'F -4 2 3'
_cell_length_a 5.848
_cell_length_b 5.848
_cell_length_c 5.848
_cell_angle_alpha 90.00
_cell_angle_beta 90.00
_cell_angle_gamma 90.00
loop_
_atom_site_label
_atom_site_type_symbol
_atom_site_fract_x
_atom_site_fract_y
_atom_site_fract_z
_atom_site_occupancy
Be1 Be 0.000 0.000 0.000 1
Be2 Be 0.250 0.250 0.250 1
Zn1 Zn 0.250 0.250 0.750 1
Ag1 Ag 0.000 0.000 0.500 1
```

The total energy is -2.63 eV/atom.

---

The following is a DFT calculation (GGA-PBE) of a relaxed Be2ZnAg crystal.

```
data_Be2ZnAg
_chemical_formula_sum 'Be8 Zn4 Ag4'
_symmetry_space_group_name_H-M 'F -4 3 m'
_symmetry_Int_Tables_number 216
_symmetry_space_group_name_Hall 'F -4 2 3'
_cell_length_a 5.851
_cell_length_b 5.851
_cell_length_c 5.851
_cell_angle_alpha 90.00
_cell_angle_beta 90.00
_cell_angle_gamma 90.00
loop_
_atom_site_label
_atom_site_type_symbol
_atom_site_fract_x
_atom_site_fract_y
_atom_site_fract_z
_atom_site_occupancy
Be1 Be 0.000 0.000 0.000 1
Be2 Be 0.250 0.250 0.250 1
Zn1 Zn 0.000 0.000 0.500 1
Ag1 Ag 0.250 0.250 0.750 1
```

The total energy is -2.63 eV/atom.

---

The following is a DFT calculation (GGA-PBE) of a relaxed ZrBeAg2 crystal.

```
data_ZrBeAg2
_chemical_formula_sum 'Zr4 Be4 Ag8'
_symmetry_space_group_name_H-M 'F -4 3 m'
_symmetry_Int_Tables_number 216
_symmetry_space_group_name_Hall 'F -4 2 3'
_cell_length_a 6.420
_cell_length_b 6.420
_cell_length_c 6.420
_cell_angle_alpha 90.00
_cell_angle_beta 90.00
_cell_angle_gamma 90.00
loop_
_atom_site_label
_atom_site_type_symbol
_atom_site_fract_x
_atom_site_fract_y
_atom_site_fract_z
_atom_site_occupancy
Zr1 Zr 0.000 0.000 0.000 1
Be1 Be 0.250 0.250 0.750 1
Ag1 Ag 0.000 0.000 0.500 1
Ag2 Ag 0.250 0.250 0.250 1
```

The value obtained for the total magnetization is 0.01 μB per cell. The total energy is -4.38 eV/atom.

---

The following is a DFT calculation (GGA-PBE) of a relaxed Ag15Bi crystal.

```
data_Ag15Bi
_chemical_formula_sum 'Ag30 Bi2'
_symmetry_space_group_name_H-M 'P 1 21/m 1'
_symmetry_Int_Tables_number 11
_cell_length_a 4.115
_cell_length_b 4.097
_cell_length_c 43.229
_cell_angle_alpha 90.00
_cell_angle_beta 90.02
_cell_angle_gamma 90.00
loop_
_symmetry_equiv_pos_as_xyz
'x,y,z'
'-x,-y,-z'
'-x,y+1/2,-z'
'x,-y+1/2,z'
loop_
_atom_site_label
_atom_site_type_symbol
_atom_site_fract_x
_atom_site_fract_y
_atom_site_fract_z
_atom_site_occupancy
Ag1 Ag 0.000 0.250 0.024 1
Ag2 Ag 0.000 0.250 0.120 1
Ag3 Ag 0.000 0.250 0.217 1
Ag4 Ag 0.000 0.250 0.314 1
Ag5 Ag 0.000 0.250 0.638 1
Ag6 Ag 0.000 0.250 0.735 1
Ag7 Ag 0.000 0.250 0.832 1
Ag8 Ag 0.000 0.250 0.928 1
Ag9 Ag 0.500 0.250 0.072 1
Ag10 Ag 0.500 0.250 0.168 1
Ag11 Ag 0.500 0.250 0.265 1
Ag12 Ag 0.500 0.250 0.686 1
Ag13 Ag 0.500 0.250 0.783 1
Ag14 Ag 0.500 0.250 0.880 1
Ag15 Ag 0.500 0.250 0.976 1
Bi1 Bi 0.500 0.250 0.372 1
```

The total energy is -2.87 eV/atom. As for the energy above the lowest structure with this stoichiometry: 0.000 eV/f.u.

---

The following is a DFT calculation (GGA-PBE) of a relaxed Ag7Bi crystal.

```
data_Ag7Bi
_chemical_formula_sum 'Ag14 Bi2'
_symmetry_space_group_name_H-M 'P m m n'
_symmetry_Int_Tables_number 59
_cell_length_a 2.999
_cell_length_b 3.978
_cell_length_c 30.242
_cell_angle_alpha 90.00
_cell_angle_beta 90.00
_cell_angle_gamma 90.00
loop_
_symmetry_equiv_pos_as_xyz
'x,y,z'
'-x,-y,-z'
'-x+1/2,-y+1/2,z'
'x+1/2,y+1/2,-z'
'x+1/2,-y,-z'
'-x+1/2,y,z'
'-x,y+1/2,-z'
'x,-y+1/2,z'
loop_
_atom_site_label
_atom_site_type_symbol
_atom_site_fract_x
_atom_site_fract_y
_atom_site_fract_z
_atom_site_occupancy
Ag1 Ag 0.250 0.250 0.024 1
Ag2 Ag 0.250 0.250 0.122 1
Ag3 Ag 0.250 0.250 0.220 1
Ag4 Ag 0.250 0.250 0.319 1
Ag5 Ag 0.250 0.250 0.730 1
Ag6 Ag 0.250 0.250 0.829 1
Ag7 Ag 0.250 0.250 0.927 1
Bi1 Bi 0.250 0.250 0.621 1
```

The total energy is -2.92 eV/atom. As for the energy above the lowest structure with this stoichiometry: 0.000 eV/f.u.

---

The following is a DFT calculation (GGA-PBE) of a relaxed Ag9Bi2 crystal.

```
data_Ag9Bi2
_chemical_formula_sum 'Ag9 Bi2'
_symmetry_space_group_name_H-M 'P -3 m 1'
_symmetry_Int_Tables_number 164
_symmetry_space_group_name_Hall '-P 3 2"'
_cell_length_a 3.0955
_cell_length_b 3.0955
_cell_length_c 34.0368
_cell_angle_alpha 90.00
_cell_angle_beta 90.00
_cell_angle_gamma 120.00
loop_
_atom_site_label
_atom_site_type_symbol
_atom_site_fract_x
_atom_site_fract_y
_atom_site_fract_z
_atom_site_occupancy
Ag1 Ag 0.0000 0.0000 0.0000 1
Ag2 Ag 0.0000 0.0000 0.1984 1
Ag3 Ag 0.3333 0.6667 0.1317 1
Ag4 Ag 0.3333 0.6667 0.7345 1
Ag5 Ag 0.3333 0.6667 0.9343 1
Bi1 Bi 0.3333 0.6667 0.3416 1
```

The total energy is -2.90 eV/atom.

---

The following is a DFT calculation (GGA-PBE) of a relaxed AgBi crystal.

```
data_AgBi
_chemical_formula_sum 'Ag4 Bi4'
_symmetry_space_group_name_H-M 'C m c m'
_symmetry_Int_Tables_number 63
_symmetry_space_group_name_Hall '-C 2c 2'
_cell_length_a 4.052
_cell_length_b 10.968
_cell_length_c 4.414
_cell_angle_alpha 90.00
_cell_angle_beta 90.00
_cell_angle_gamma 90.00
loop_
_atom_site_label
_atom_site_type_symbol
_atom_site_fract_x
_atom_site_fract_y
_atom_site_fract_z
_atom_site_occupancy
Ag1 Ag 0.000 0.083 0.250 1
Bi1 Bi 0.000 0.355 0.250 1
```

The total energy is -3.36 eV/atom.

---

The following is a DFT calculation (GGA-PBE) of a relaxed AgBi crystal.

```
data_AgBi
_chemical_formula_sum 'Ag1 Bi1'
_symmetry_space_group_name_H-M 'P -6 m 2'
_symmetry_Int_Tables_number 187
_symmetry_space_group_name_Hall 'P -6 2'
_cell_length_a 3.4233
_cell_length_b 3.4233
_cell_length_c 4.9835
_cell_angle_alpha 90.00
_cell_angle_beta 90.00
_cell_angle_gamma 120.00
loop_
_atom_site_label
_atom_site_type_symbol
_atom_site_fract_x
_atom_site_fract_y
_atom_site_fract_z
_atom_site_occupancy
Ag1 Ag 0.0000 0.0000 0.0000 1
Bi1 Bi 0.6667 0.3333 0.5000 1
```

The total energy is -3.28 eV/atom.

---

The following is a DFT calculation (GGA-PBE) of a relaxed Ag124Bi crystal.

```
data_Ag124Bi
_chemical_formula_sum 'Ag496 Bi4'
_symmetry_space_group_name_H-M 'F m -3 m'
_symmetry_Int_Tables_number 225
_symmetry_space_group_name_Hall '-F 4 2 3'
_cell_length_a 20.577
_cell_length_b 20.577
_cell_length_c 20.577
_cell_angle_alpha 90.00
_cell_angle_beta 90.00
_cell_angle_gamma 90.00
loop_
_atom_site_label
_atom_site_type_symbol
_atom_site_fract_x
_atom_site_fract_y
_atom_site_fract_z
_atom_site_occupancy
Ag1 Ag 0.000 0.000 0.100 1
Ag2 Ag 0.000 0.000 0.299 1
Ag3 Ag 0.000 0.100 0.200 1
Ag4 Ag 0.000 0.103 0.397 1
Ag5 Ag 0.000 0.201 0.299 1
Ag6 Ag 0.100 0.100 0.100 1
Ag7 Ag 0.100 0.100 0.299 1
Ag8 Ag 0.100 0.200 0.200 1
Ag9 Ag 0.200 0.200 0.300 1
Bi1 Bi 0.000 0.000 0.500 1
```

The total energy is -2.83 eV/atom.

---

The following is a DFT calculation (GGA-PBE) of a relaxed Ag15Bi crystal.

```
data_Ag15Bi
_chemical_formula_sum 'Ag30 Bi2'
_symmetry_space_group_name_H-M 'P 1 21/m 1'
_symmetry_Int_Tables_number 11
_cell_length_a 5.865
_cell_length_b 4.065
_cell_length_c 33.472
_cell_angle_alpha 90.00
_cell_angle_beta 90.03
_cell_angle_gamma 90.00
loop_
_symmetry_equiv_pos_as_xyz
'x,y,z'
'-x,-y,-z'
'-x,y+1/2,-z'
'x,-y+1/2,z'
loop_
_atom_site_label
_atom_site_type_symbol
_atom_site_fract_x
_atom_site_fract_y
_atom_site_fract_z
_atom_site_occupancy
Ag1 Ag 0.119 0.250 0.287 1
Ag2 Ag 0.125 0.250 0.022 1
Ag3 Ag 0.125 0.250 0.110 1
Ag4 Ag 0.125 0.250 0.198 1
Ag5 Ag 0.125 0.250 0.846 1
Ag6 Ag 0.125 0.250 0.934 1
Ag7 Ag 0.128 0.250 0.758 1
Ag8 Ag 0.369 0.750 0.329 1
Ag9 Ag 0.372 0.750 0.242 1
Ag10 Ag 0.374 0.750 0.153 1
Ag11 Ag 0.374 0.750 0.890 1
Ag12 Ag 0.375 0.750 0.066 1
Ag13 Ag 0.375 0.750 0.978 1
Ag14 Ag 0.378 0.750 0.713 1
Ag15 Ag 0.378 0.750 0.802 1
Bi1 Bi 0.131 0.250 0.662 1
```

The total energy is -2.85 eV/atom. As for the energy above the lowest structure with this stoichiometry: 0.256 eV/f.u.